DFT (PBE-GGA) results for a relaxed HfAs2Br crystal.

Computed properties:
Relative energy among the computed polymorphs ... 0.000 eV/atom
Uncorrected formation energy ... -0.0442 eV per atom

Cell lengths 4.1308, 4.1308, 20.8070 Å; angles 90.00, 90.00, 90.00 degrees
Space group I-42d (No. 122)
Inequivalent atoms, fractional coordinates:
Hf (0.0000, 0.0000, 0.0000) [4 per cell]
As (0.1748, 0.2500, 0.1250) [8 per cell]
Br (0.0000, 0.0000, 0.5000) [4 per cell]

DFT (PBE-GGA) results for a relaxed Pa2Ga3Tc2 crystal.

Computed properties:
Formation enthalpy at 0 K ... -12.6 kJ per mole of atoms

Cell lengths 3.7440, 3.7444, 11.9798 Å; angles 90.00, 98.56, 90.00 degrees
Space group P2/m (No. 10)
Inequivalent atoms, fractional coordinates:
Pa (0.1167, 0.0000, 0.2208) [2 per cell]
Ga (0.2868, 0.5000, 0.5751) [2 per cell]
Ga (0.5000, 0.5000, 0.0000) [1 per cell]
Tc (0.3863, 0.5000, 0.7881) [2 per cell]

DFT (PBE-GGA) results for a relaxed KScBe2Pd crystal.

Computed properties:
Formation enthalpy at 0 K ... 30.7 kJ per mole of atoms

Cell lengths 4.6221, 4.6221, 4.9295 Å; angles 90.00, 90.00, 90.00 degrees
Space group P4/mmm (No. 123)
Inequivalent atoms, fractional coordinates:
K (0.0000, 0.0000, 0.0000) [1 per cell]
Sc (0.5000, 0.5000, 0.0000) [1 per cell]
Be (0.0000, 0.5000, 0.5000) [2 per cell]
Pd (0.5000, 0.5000, 0.5000) [1 per cell]

DFT (PBE-GGA) results for a relaxed In2CuSe crystal.

Computed properties:
Uncorrected formation energy ... 0.1019 eV per atom

Cell lengths 3.9609, 3.9609, 12.0570 Å; angles 90.00, 90.00, 90.00 degrees
Space group I-4m2 (No. 119)
Inequivalent atoms, fractional coordinates:
In (0.0000, 0.0000, 0.0000) [2 per cell]
In (0.0000, 0.5000, 0.2500) [2 per cell]
Cu (0.0000, 0.0000, 0.5000) [2 per cell]
Se (0.0000, 0.5000, 0.7500) [2 per cell]

DFT (PBE-GGA) results for a relaxed MoS3 crystal.

Computed properties:
Uncorrected formation energy ... -0.3610 eV per atom

Cell lengths 6.7681, 3.1469, 8.8058 Å; angles 90.00, 102.51, 90.00 degrees
Space group P2_1/m (No. 11)
Inequivalent atoms, fractional coordinates:
Mo (0.1519, 0.2500, 0.1218) [2 per cell]
S (0.1433, 0.7500, 0.3487) [2 per cell]
S (0.2052, 0.7500, 0.9181) [2 per cell]
S (0.4064, 0.7500, 0.2712) [2 per cell]